This record from the Alexandria database describes a relaxed TbNdHo2 crystal. The functional is PBE.

Computed properties:
- Space-group type: P-3m1, No. 164
- Raw total energy: -0.171 hartree per atom
- Energy relative to the elements: -0.002 eV per atom
- M_tot: 0.0 μB per formula unit

The structure in POSCAR format:
```
TbNdHo2
1.0
3.5862 0.0000 0.0000
1.7931 3.1058 0.0001
0.0000 -0.0003 11.5246
Tb Nd Ho
1 1 2
Direct
0.0000 0.0000 0.5000
0.0000 0.0000 0.0000
0.6667 0.6667 0.2526
0.3333 0.3333 0.7474
```